BaYPO2 PBE optimized geometry; density = 3.93 g/cm³; total energy = -5.345 eV/atom
1.0
4.367 0.000 0.000
0.000 4.367 0.000
0.000 0.000 6.405
Ba Y P O
1 1 1 2
direct
0.000 0.000 0.000 Ba
0.500 0.500 0.500 Y
0.000 0.000 0.500 P
0.000 0.500 0.000 O
0.500 0.000 0.000 O